Entry 1:
DFT (PBE) results for a relaxed structure of Pr4BCCl2.

abc: 6.7977 3.9111 7.5085
angles: 90.00 107.66 90.00
Closest atoms and distances in Å follow each position.
Space group P2/m (No. 10)
Symmetry-distinct sites (fractional):
Pr (0.2265, 0.0000, 0.1957) (multiplicity 2)  2 C 2.64, 1 B 2.70
Pr (0.2596, 0.5000, 0.7980) (multiplicity 2)  1 C 2.65, 2 B 2.70
B (0.5000, 0.0000, 0.0000) (multiplicity 1)  6 Pr 2.70
C (0.0000, 0.5000, 0.0000) (multiplicity 1)  6 Pr 2.64-2.65
Cl (0.0000, 0.0000, 0.5000) (multiplicity 1)  6 Pr 3.09-3.12
Cl (0.5000, 0.5000, 0.5000) (multiplicity 1)  6 Pr 3.15

Output
The uncorrected formation energy comes out at -906 meV per atom. The density of states at the Fermi level comes out at 0.44 states/eV per atom. As for the total energy: -5.75 eV per atom.

Entry 2:
DFT (PBE) results for a relaxed structure of Nd14ThAl.

abc: 10.1208 10.3015 10.2994
angles: 90.00 90.00 90.00
Closest atoms and distances in Å follow each position.
Space group Amm2 (No. 38)
Symmetry-distinct sites (fractional):
Nd (0.0000, 0.0000, 0.0000) (multiplicity 2)  12 Nd 3.60-3.76
Nd (0.0000, 0.0000, 0.4972) (multiplicity 2)  12 Nd 3.61-3.69
Nd (0.0000, 0.2460, 0.2482) (multiplicity 4)  12 Nd 3.60-3.71
Nd (0.2549, 0.0000, 0.7418) (multiplicity 4)  10 Nd 3.48-3.73, 1 Al 3.51, 1 Th 3.63
Nd (0.2616, 0.2443, 0.4980) (multiplicity 8)  1 Al 3.49, 10 Nd 3.52-3.73, 1 Th 3.57
Nd (0.2674, 0.0000, 0.2537) (multiplicity 4)  1 Al 3.46, 1 Th 3.52, 10 Nd 3.56-3.76
Nd (0.5000, 0.2369, 0.7468) (multiplicity 4)  8 Nd 3.48-3.59, 2 Al 3.52-3.76, 2 Th 3.57-3.72
Th (0.5000, 0.0000, 0.9997) (multiplicity 2)  12 Nd 3.52-3.72
Al (0.5000, 0.0000, 0.5000) (multiplicity 2)  12 Nd 3.46-3.76

Output
As for the formation energy: 9 meV/atom. The density of states at the Fermi level comes out at 1.31 states/eV per atom. As for the total energy: -4.86 eV per atom.

Entry 3:
DFT (PBE) results for a relaxed structure of TlSb2.

abc: 9.1128 9.1128 9.1128
angles: 90.00 90.00 90.00
Closest atoms and distances in Å follow each position.
Space group Fd-3m (No. 227, origin choice 2)
Symmetry-distinct sites (fractional):
Tl (0.1250, 0.1250, 0.1250) (multiplicity 8)  12 Sb 3.78, 4 Tl 3.95
Sb (0.0000, 0.0000, 0.5000) (multiplicity 16)  6 Sb 3.22

Output
The uncorrected formation energy comes out at 127 meV per atom. The density of states at the Fermi level comes out at 1.12 states/eV per atom. As for the total energy: -3.41 eV per atom.

Entry 4:
DFT (PBE) results for a relaxed structure of RbHgBr2.

abc: 6.7856 6.7856 16.5701
angles: 90.00 90.00 90.00
Closest atoms and distances in Å follow each position.
Space group I-42d (No. 122)
Symmetry-distinct sites (fractional):
Rb (0.0000, 0.0000, 0.0000) (multiplicity 4)  4 Br 3.43
Hg (0.0000, 0.0000, 0.5000) (multiplicity 4)  4 Br 2.95
Br (0.1838, 0.2500, 0.6250) (multiplicity 8)  2 Hg 2.95

Output
As for the polymorph energy (0 for the lowest one): 0.005 eV/atom. The uncorrected formation energy comes out at -899 meV per atom. The density of states at the Fermi level comes out at 0.02 states/eV per atom. As for the total energy: -2.05 eV per atom.

Entry 5:
DFT (PBE) results for a relaxed structure of Ac5TmMg6.

abc: 5.7257 17.2240 8.1342
angles: 90.00 90.00 90.00
Closest atoms and distances in Å follow each position.
Space group Cmmm (No. 65)
Symmetry-distinct sites (fractional):
Ac (0.0000, 0.0000, 0.0000) (multiplicity 2)  8 Mg 3.48-3.58
Ac (0.0000, 0.3298, 0.0000) (multiplicity 4)  8 Mg 3.57-3.63, 2 Ac 3.97
Ac (0.0000, 0.3350, 0.5000) (multiplicity 4)  8 Mg 3.43-3.58
Tm (0.0000, 0.0000, 0.5000) (multiplicity 2)  8 Mg 3.38-3.45
Mg (0.0000, 0.1603, 0.2607) (multiplicity 8)  1 Tm 3.38, 7 Ac 3.46-3.61
Mg (0.0000, 0.5000, 0.2638) (multiplicity 4)  6 Ac 3.43-3.63, 2 Tm 3.45

Output
As for the formation energy: -61 meV/atom. The density of states at the Fermi level comes out at 1.13 states/eV per atom. As for the total energy: -2.94 eV per atom.

Entry 6:
DFT (PBE) results for a relaxed structure of TbEr2MnN4.

abc: 3.3415 11.2754 11.3886
angles: 90.00 90.00 90.00
Closest atoms and distances in Å follow each position.
Space group Cmcm (No. 63)
Symmetry-distinct sites (fractional):
Tb (0.0000, 0.1172, 0.2500) (multiplicity 4)  6 N 2.52-2.71
Er (0.0000, 0.3681, 0.0435) (multiplicity 8)  6 N 2.29-2.47
Mn (0.0000, 0.1509, 0.7500) (multiplicity 4)  4 N 1.88-1.89
N (0.0000, 0.0000, 0.0000) (multiplicity 4)  4 Er 2.29
N (0.0000, 0.2666, 0.6316) (multiplicity 8)  1 Mn 1.88
N (0.0000, 0.4276, 0.2500) (multiplicity 4)  2 Mn 1.89

Output
The uncorrected formation energy comes out at -1231 meV per atom. The density of states at the Fermi level comes out at 0.34 states/eV per atom. As for the total energy: -8.26 eV per atom.

Entry 7:
DFT (PBE) results for a relaxed structure of GdYZr.

abc: 3.4266 3.4266 8.4746
angles: 90.00 90.00 120.00
Closest atoms and distances in Å follow each position.
Space group P3m1 (No. 156)
Symmetry-distinct sites (fractional):
Gd (0.0000, 0.0000, 0.0000) (multiplicity 1)  3 Zr 3.31, 6 Gd 3.43
Y (0.6667, 0.3333, 0.3716) (multiplicity 1)  3 Zr 3.32, 6 Y 3.43, 3 Gd 3.72
Zr (0.3333, 0.6667, 0.6864) (multiplicity 1)  3 Gd 3.31, 3 Y 3.32, 6 Zr 3.43

Output
As for the polymorph energy (0 for the lowest one): 0.017 eV/atom. As for the formation energy: 105 meV/atom. The density of states at the Fermi level comes out at 1.33 states/eV per atom. As for the total energy: -9.59 eV per atom.

Entry 8:
DFT (PBE) results for a relaxed structure of TaIn3S.

abc: 5.0447 5.0447 5.0447
angles: 90.00 90.00 90.00
Closest atoms and distances in Å follow each position.
Space group Pm-3m (No. 221)
Symmetry-distinct sites (fractional):
Ta (0.0000, 0.0000, 0.0000) (multiplicity 1)  12 In 3.57
In (0.0000, 0.5000, 0.5000) (multiplicity 3)  2 S 2.52
S (0.5000, 0.5000, 0.5000) (multiplicity 1)  6 In 2.52

Output
As for the polymorph energy (0 for the lowest one): 0.070 eV/atom. The uncorrected formation energy comes out at 1030 meV per atom. The density of states at the Fermi level comes out at 0.62 states/eV per atom. As for the total energy: -3.81 eV per atom.

Entry 9:
DFT (PBE) results for a relaxed structure of KMgSnHg3.

abc: 7.2421 14.1476 7.3966
angles: 90.00 90.00 90.00
Closest atoms and distances in Å follow each position.
Space group Cmcm (No. 63)
Symmetry-distinct sites (fractional):
K (0.0000, 0.2030, 0.2500) (multiplicity 4)  6 Hg 3.66-3.76, 1 Mg 3.69, 2 Sn 3.86
Mg (0.0000, 0.4636, 0.2500) (multiplicity 4)  5 Hg 2.81-2.83
Sn (0.0000, 0.1259, 0.7500) (multiplicity 4)  5 Hg 2.98-3.01
Hg (0.0000, 0.3365, 0.7500) (multiplicity 4)  1 Mg 2.83, 1 Sn 2.98
Hg (0.2166, 0.0000, 0.0000) (multiplicity 8)  2 Mg 2.81, 2 Sn 3.01, 1 Hg 3.14

Output
As for the formation energy: -88 meV/atom. The density of states at the Fermi level comes out at 0.27 states/eV per atom. As for the total energy: -1.35 eV per atom.

Entry 10:
DFT (PBE) results for a relaxed structure of Tc2MoPb.

abc: 2.9498 2.9498 27.8839
angles: 90.00 90.00 120.00
Closest atoms and distances in Å follow each position.
Space group R3m (No. 160, hexagonal axes)
Symmetry-distinct sites (fractional):
Tc (0.0000, 0.0000, 0.0000) (multiplicity 3)  9 Tc 2.64-2.95, 3 Mo 2.75
Tc (0.0000, 0.0000, 0.2608) (multiplicity 3)  9 Tc 2.64-2.95
Mo (0.0000, 0.0000, 0.7439) (multiplicity 3)  3 Tc 2.75, 6 Mo 2.95
Pb (0.0000, 0.0000, 0.5030) (multiplicity 3)  6 Pb 2.95, 3 Tc 3.06, 3 Mo 3.09

Output
As for the formation energy: 577 meV/atom. The density of states at the Fermi level comes out at 1.67 states/eV per atom. As for the total energy: -8.24 eV per atom.

Entry 11:
DFT (PBE) results for a relaxed structure of YTaNi2C.

abc: 4.5782 4.5782 4.2124
angles: 90.00 90.00 90.00
Closest atoms and distances in Å follow each position.
Space group P4/mmm (No. 123)
Symmetry-distinct sites (fractional):
Y (0.0000, 0.0000, 0.0000) (multiplicity 1)  2 C 2.11, 4 Ni 2.29
Ta (0.5000, 0.5000, 0.5000) (multiplicity 1)  8 Ni 3.11, 4 C 3.24
Ni (0.0000, 0.5000, 0.0000) (multiplicity 2)  2 Y 2.29
C (0.0000, 0.0000, 0.5000) (multiplicity 1)  2 Y 2.11

Output
As for the formation energy: 1895 meV/atom. The density of states at the Fermi level comes out at 1.24 states/eV per atom. As for the total energy: -5.93 eV per atom.

Entry 12:
DFT (PBE) results for a relaxed structure of Sr2TbPrSe4.

abc: 7.3877 4.2625 7.5486
angles: 90.00 109.01 90.00
Closest atoms and distances in Å follow each position.
Space group P2/m (No. 10)
Symmetry-distinct sites (fractional):
Sr (0.0000, 0.0000, 0.0000) (multiplicity 1)  6 Se 3.06
Sr (0.5000, 0.5000, 0.0000) (multiplicity 1)  6 Se 3.13
Tb (0.0000, 0.5000, 0.5000) (multiplicity 1)  6 Se 2.95-2.96
Pr (0.5000, 0.0000, 0.5000) (multiplicity 1)  6 Se 3.02
Se (0.2381, 0.0000, 0.7350) (multiplicity 2)  2 Tb 2.96, 1 Pr 3.02, 3 Sr 3.06-3.13
Se (0.2458, 0.5000, 0.2600) (multiplicity 2)  1 Tb 2.95, 2 Pr 3.02, 3 Sr 3.06-3.13

Output
The uncorrected formation energy comes out at -1903 meV per atom. The density of states at the Fermi level comes out at 0.44 states/eV per atom. As for the total energy: -5.24 eV per atom.